[1]
LiReTc2 | PBE | relaxed

DOS(E_F) in states/eV per atom: 0.774
ΔH_f (0 K) in eV per formula unit: 1.00
E in eV per atom: -8.52

Cell lengths 3.117, 3.117, 5.639 Å; angles 90.00, 90.00, 90.00 degrees
Fractional coordinates of all 4 atoms:
Li 0.500 0.500 0.250
Tc 0.000 0.000 0.020
Tc 0.000 0.000 0.480
Re 0.500 0.500 0.750

[2]
SrSiAg | PBE | relaxed

DOS(E_F) in states/eV per atom: 0.533
E in eV per atom: -3.42
Energy relative to the elements, uncorrected in meV/atom: -102

Cell lengths 4.581, 5.603, 10.800 Å; angles 142.60, 90.00, 90.00 degrees
Fractional coordinates of all 6 atoms:
Ag 0.000 0.902 0.516
Si 0.000 0.761 0.233
Sr 0.500 0.240 0.233
Ag 0.500 0.260 0.769
Sr 0.000 0.729 0.735
Si 0.000 0.565 0.947

What did the second record say?
SrSiAg | PBE | relaxed

DOS(E_F) in states/eV per atom: 0.533
E in eV per atom: -3.42
Energy relative to the elements, uncorrected in meV/atom: -102

Cell lengths 4.581, 5.603, 10.800 Å; angles 142.60, 90.00, 90.00 degrees
Fractional coordinates of all 6 atoms:
Ag 0.000 0.902 0.516
Si 0.000 0.761 0.233
Sr 0.500 0.240 0.233
Ag 0.500 0.260 0.769
Sr 0.000 0.729 0.735
Si 0.000 0.565 0.947